1.
The following is a GGA-PBE calculation of a relaxed structure of Ac4NiGeBr2, from Alexandria via LeMat-Bulk.

Output
The crystal system is monoclinic. Its calculated total energy is -37.7 eV for the cell shown. The calculation puts the calculated density at 7.27 g cm⁻³.

Lattice parameters (Å, degrees): 8.0505 4.3522 8.1677 90.00 106.88 90.00
Space group P2/m (No. 10)
Asymmetric unit:
Ac 0.2144 0.0000 0.1959 [2 per cell]
Ac 0.2556 0.5000 0.7844 [2 per cell]
Ni 0.0000 0.5000 0.0000 [1 per cell]
Ge 0.5000 0.0000 0.0000 [1 per cell]
Br 0.0000 0.0000 0.5000 [1 per cell]
Br 0.5000 0.5000 0.5000 [1 per cell]

2.
The following is a GGA-PBE calculation of a relaxed structure of SiBi2As2, from Alexandria via LeMat-Bulk.

Output
The crystal system is tetragonal. Its calculated total energy is -41.2 eV for the cell shown. The calculation puts the calculated density at 7.42 g cm⁻³.

Lattice parameters (Å, degrees): 5.8814 5.8814 7.7134 90.00 90.00 90.00
Space group I4/mmm (No. 139)
Asymmetric unit:
Si 0.0000 0.0000 0.0000 [2 per cell]
Bi 0.0000 0.5000 0.2500 [4 per cell]
As 0.0000 0.0000 0.3253 [4 per cell]

Number 1: formation energy (no corrections) -938 meV per atom, DOS at the Fermi energy 6.1 states/eV per cell. Number 2: formation energy (no corrections) 380 meV per atom, DOS at the Fermi energy 5.8 states/eV per cell.